Below is a relaxed Co4NiO8 crystal, with properties calculated at the PBE+U level.

## Properties
**D(E_F)**: 0.093 states/eV/atom
**Total DFT energy (no corrections)**: -5.599 eV per atom

Cell and atoms, written as extended XYZ:
```
13
Lattice="-4.7470 -2.1791 -2.3992 0.3342 -4.5231 -3.5310 -2.0261 -5.2355 1.7471" Properties=species:S:1:pos:R:3 pbc="T T T"
Co -3.2194 -5.9688 -2.0916
Co 0.0000 0.0000 0.0000
Co -2.3735 -1.0895 -1.1996
Co 0.1671 -2.2616 -1.7655
Ni -2.2064 -3.3511 -2.9651
O -4.8780 -9.1498 -2.9496
O -2.4499 -7.8741 -1.7358
O -4.9359 -6.7273 -1.1821
O -2.6904 -5.7748 -0.1184
O -3.7484 -6.1628 -4.0648
O -1.5029 -5.2104 -3.0011
O -3.9889 -4.0636 -2.4474
O -1.5609 -2.7878 -1.2336
```